## CdCu2BRh (GGA-PBE)

Data for a geometry-optimized CdCu2BRh structure.

Lattice parameters (Å, degrees): 4.067 4.067 4.084 90.00 90.00 90.00
Space group P4/mmm (No. 123)
Inequivalent atoms, fractional coordinates:
Cd (0.000, 0.000, 0.000) [1 per cell]
Cu (0.000, 0.500, 0.500) [2 per cell]
B (0.500, 0.500, 0.500) [1 per cell]
Rh (0.500, 0.500, 0.000) [1 per cell]

total energy: -4.646 eV/atom
total magnetic moment: 0.00 μB per formula unit
energy relative to the elements: -0.02 eV/atom